Version w
## CaMg2H6 (GGA-PBE)

Data for an optimized crystal structure of CaMg2H6.

Unit cell a=5.2173 b=5.2173 c=5.2173 alpha=60.00 beta=60.00 gamma=60.00
Atoms (fractional coordinates):
H: 0.2772 0.7228 0.7228
H: 0.2772 0.7228 0.2772
H: 0.7228 0.2772 0.2772
Ca: 0.0000 0.0000 0.0000
Mg: 0.2500 0.2500 0.2500
H: 0.7228 0.7228 0.2772
H: 0.2772 0.2772 0.7228
Mg: 0.7500 0.7500 0.7500
H: 0.7228 0.2772 0.7228

=====

Version x
## CaMg2H6 (GGA-PBE)

Data for an optimized crystal structure of CaMg2H6.

Unit cell a=4.7437 b=5.0788 c=5.0788 alpha=120.00 beta=90.00 gamma=90.00
Atoms (fractional coordinates):
H: 0.2765 0.6389 0.0000
Mg: 0.5000 0.3333 0.6667
H: 0.7235 0.3611 0.0000
Ca: 0.0000 0.0000 0.0000
H: 0.7235 0.0000 0.3611
H: 0.7235 0.6389 0.6389
Mg: 0.5000 0.6667 0.3333
H: 0.2765 0.0000 0.6389
H: 0.2765 0.3611 0.3611

=====

Last place for stability: version w

=====

Version w
## SrCa2MgH (GGA-PBE)

Data for an optimized crystal structure of SrCa2MgH.

Unit cell a=5.1850 b=5.1850 c=5.5864 alpha=90.00 beta=90.00 gamma=90.00
Atoms (fractional coordinates):
H: 0.0000 0.0000 0.0000
Mg: 0.0000 0.0000 0.5000
Sr: 0.5000 0.5000 0.5000
Ca: 0.0000 0.5000 0.0000
Ca: 0.5000 0.0000 0.0000

=====

Version x
## SrCa2MgH (GGA-PBE)

Data for an optimized crystal structure of SrCa2MgH.

Unit cell a=5.2289 b=5.2289 c=5.3486 alpha=90.00 beta=90.00 gamma=90.00
Atoms (fractional coordinates):
Ca: 0.5000 0.0000 0.0000
H: 0.0000 0.0000 0.0000
Sr: 0.0000 0.0000 0.5000
Ca: 0.0000 0.5000 0.0000
Mg: 0.5000 0.5000 0.5000

=====

Last place for stability: version w

=====

Version w
## Sr2CaMgH (GGA-PBE)

Data for an optimized crystal structure of Sr2CaMgH.

Unit cell a=5.4811 b=5.4811 c=5.2210 alpha=90.00 beta=90.00 gamma=90.00
Atoms (fractional coordinates):
Sr: 0.5000 0.0000 0.0000
H: 0.0000 0.0000 0.0000
Sr: 0.0000 0.5000 0.0000
Ca: 0.0000 0.0000 0.5000
Mg: 0.5000 0.5000 0.5000

=====

Version x
## Sr2CaMgH (GGA-PBE)

Data for an optimized crystal structure of Sr2CaMgH.

Unit cell a=5.4930 b=5.4930 c=5.2337 alpha=90.00 beta=90.00 gamma=90.00
Atoms (fractional coordinates):
H: 0.0000 0.0000 0.0000
Sr: 0.5000 0.0000 0.0000
Mg: 0.0000 0.0000 0.5000
Ca: 0.5000 0.5000 0.5000
Sr: 0.0000 0.5000 0.0000

=====

Last place for stability: version x

=====

Version w
## CaMn2H (GGA-PBE)

Data for an optimized crystal structure of CaMn2H.

Unit cell a=5.6336 b=5.6336 c=5.6368 alpha=60.02 beta=60.02 gamma=90.00
Site moments in Bohr magnetons follow the coordinates.
Atoms (fractional coordinates):
Mn: 0.8750 0.6250 0.7500  3.03
H: 0.2500 0.7500 0.5000  -0.03
H: 0.5000 0.5000 0.0000  -0.03
Ca: 0.0000 0.0000 0.0000  -0.07
Ca: 0.7500 0.2500 0.5000  -0.07
Mn: 0.3750 0.6250 0.2500  3.02
Mn: 0.3750 0.6250 0.7500  3.05
Mn: 0.3750 0.1250 0.2500  3.05

=====

Version x
## CaMn2H (GGA-PBE)

Data for an optimized crystal structure of CaMn2H.

Unit cell a=4.6849 b=4.6849 c=4.6849 alpha=60.00 beta=60.00 gamma=60.00
Site moments in Bohr magnetons follow the coordinates.
Atoms (fractional coordinates):
H: 0.0000 0.0000 0.0000  -0.01
Ca: 0.5000 0.5000 0.5000  -0.02
Mn: 0.2500 0.2500 0.2500  3.72
Mn: 0.7500 0.7500 0.7500  3.72

=====

Last place for stability: version x

=====

Version w
## CaMn2H8 (GGA-PBE)

Data for an optimized crystal structure of CaMn2H8.

Unit cell a=3.5816 b=4.8094 c=4.8094 alpha=115.99 beta=90.22 gamma=90.22
Site moments in Bohr magnetons follow the coordinates.
Atoms (fractional coordinates):
H: 0.7606 0.4920 0.4920  -0.03
Mn: 0.0000 0.6781 0.3219  1.90
H: 0.5000 0.6999 0.3001  -0.02
H: 0.2394 0.5080 0.5080  -0.03
H: 0.0031 0.0314 0.3203  -0.02
H: 0.0031 0.3203 0.0314  -0.02
H: 0.5000 0.3001 0.6999  -0.02
Mn: 0.0000 0.3219 0.6781  1.90
H: 0.9969 0.6797 0.9686  -0.02
H: 0.9969 0.9686 0.6797  -0.02
Ca: 0.5000 0.0000 0.0000  -0.02

=====

Version x
## CaMn2H8 (GGA-PBE)

Data for an optimized crystal structure of CaMn2H8.

Unit cell a=4.5112 b=4.5067 c=4.5067 alpha=119.61 beta=90.04 gamma=90.04
Site moments in Bohr magnetons follow the coordinates.
Atoms (fractional coordinates):
Ca: 0.0910 0.0748 0.0748  0.02
Mn: 0.5909 0.7217 0.3739  2.28
H: 0.5910 0.3019 0.0545  -0.03
Mn: 0.5909 0.3739 0.7217  2.28
H: 0.3508 0.5668 0.5668  -0.02
H: 0.8445 0.0489 0.6041  -0.02
H: 0.8445 0.6041 0.0489  -0.02
H: 0.3374 0.0483 0.6037  -0.02
H: 0.8310 0.5675 0.5675  -0.02
H: 0.5910 0.0545 0.3019  -0.03
H: 0.3374 0.6037 0.0483  -0.02

=====

Last place for stability: version w

=====

Version w
## CaMn3H (GGA-PBE)

Data for an optimized crystal structure of CaMn3H.

Unit cell a=5.3927 b=5.3927 c=5.3927 alpha=90.00 beta=90.00 gamma=90.00
Site moments in Bohr magnetons follow the coordinates.
Atoms (fractional coordinates):
Mn: 0.0000 0.5000 0.0000  4.04
Ca: 0.0000 0.0000 0.0000  -0.12
Mn: 0.5000 0.0000 0.0000  4.33
H: 0.5000 0.5000 0.5000  0.20
Mn: 0.0000 0.0000 0.5000  3.93

=====

Version x
## CaMn3H (GGA-PBE)

Data for an optimized crystal structure of CaMn3H.

Unit cell a=4.1109 b=4.1109 c=4.1109 alpha=90.00 beta=90.00 gamma=90.00
Site moments in Bohr magnetons follow the coordinates.
Atoms (fractional coordinates):
Mn: 0.5000 0.0000 0.0000  3.01
Mn: 0.0000 0.0000 0.5000  3.34
Mn: 0.0000 0.5000 0.0000  3.23
H: 0.0000 0.0000 0.0000  -0.04
Ca: 0.5000 0.5000 0.5000  -0.06

=====

Last place for stability: version w

=====

Version w
## CaHN (GGA-PBE)

Data for an optimized crystal structure of CaHN.

Unit cell a=2.7693 b=4.4287 c=4.9563 alpha=90.00 beta=106.22 gamma=90.00
Atoms (fractional coordinates):
N: 0.1241 0.2500 0.2482
Ca: 0.3824 0.2500 0.7648
N: 0.8759 0.7500 0.7518
Ca: 0.6176 0.7500 0.2352
H: 0.6376 0.2500 0.2751
H: 0.3624 0.7500 0.7249

=====

Version x
## CaHN (GGA-PBE)

Data for an optimized crystal structure of CaHN.

Unit cell a=6.3171 b=6.4021 c=3.3496 alpha=90.00 beta=90.00 gamma=90.00
Atoms (fractional coordinates):
N: 0.8309 0.2500 0.4971
N: 0.3309 0.2500 0.0029
H: 0.7521 0.7500 0.7273
Ca: 0.5000 0.5000 0.5000
Ca: 0.0000 0.5000 0.0000
Ca: 0.0000 0.0000 0.0000
H: 0.2479 0.2500 0.2727
N: 0.1691 0.7500 0.5029
Ca: 0.5000 0.0000 0.5000
N: 0.6691 0.7500 0.9971
H: 0.2521 0.7500 0.7727
H: 0.7479 0.2500 0.2273

=====

Version y
## CaHN (GGA-PBE)

Data for an optimized crystal structure of CaHN.

Unit cell a=5.0958 b=4.8483 c=6.1212 alpha=90.00 beta=90.00 gamma=90.00
Atoms (fractional coordinates):
H: 0.7810 0.2500 0.8864
Ca: 0.2443 0.7500 0.5682
Ca: 0.2557 0.2500 0.0682
Ca: 0.7443 0.7500 0.9318
Ca: 0.7557 0.2500 0.4318
H: 0.2810 0.2500 0.6136
N: 0.2522 0.2500 0.4452
H: 0.2190 0.7500 0.1136
N: 0.7522 0.2500 0.0548
N: 0.7478 0.7500 0.5548
H: 0.7190 0.7500 0.3864
N: 0.2478 0.7500 0.9452

=====

Version z
## CaHN (GGA-PBE)

Data for an optimized crystal structure of CaHN.

Unit cell a=3.8002 b=3.8002 c=3.8002 alpha=124.32 beta=124.32 gamma=82.67
Atoms (fractional coordinates):
N: 0.5426 0.5426 0.0000
H: 0.3610 0.3610 0.0000
Ca: 0.9465 0.9465 0.0000

=====

Last place for stability: version w

=====

Version w
## CaH2N (GGA-PBE)

Data for an optimized crystal structure of CaH2N.

Unit cell a=3.6427 b=3.6427 c=3.6427 alpha=60.00 beta=60.00 gamma=60.00
Atoms (fractional coordinates):
H: 0.7500 0.7500 0.7500
H: 0.2500 0.2500 0.2500
N: 0.0000 0.0000 0.0000
Ca: 0.5000 0.5000 0.5000

=====

Version x
## CaH2N (GGA-PBE)

Data for an optimized crystal structure of CaH2N.

Unit cell a=3.4858 b=3.4858 c=6.6065 alpha=74.70 beta=74.70 gamma=90.00
Atoms (fractional coordinates):
H: 0.8750 0.6251 0.7500
H: 0.3749 0.6250 0.2500
N: 0.5000 0.5000 0.0000
H: 0.3751 0.1250 0.2500
Ca: 0.7500 0.2500 0.5000
N: 0.2500 0.7500 0.5000
H: 0.3750 0.6249 0.7500
Ca: 0.0000 0.0000 0.0000

=====

Last place for stability: version w

=====

Version w
## Ca4HN2 (GGA-PBE)

Data for an optimized crystal structure of Ca4HN2.

Unit cell a=3.6044 b=6.2667 c=12.4269 alpha=90.00 beta=90.00 gamma=106.71
Site moments in Bohr magnetons follow the coordinates.
Atoms (fractional coordinates):
N: 0.1336 0.2673 0.4369  0.02
H: 0.4186 0.8372 0.2500  0.00
Ca: 0.7567 0.5134 0.1040  0.04
Ca: 0.7567 0.5134 0.3960  0.04
Ca: 0.0608 0.1216 0.2500  0.07
Ca: 0.9392 0.8784 0.7500  0.07
N: 0.1336 0.2673 0.0631  0.02
N: 0.8664 0.7327 0.9369  0.02
Ca: 0.2433 0.4866 0.6040  0.04
H: 0.5814 0.1628 0.7500  0.00
Ca: 0.5000 0.0000 0.5000  0.01
N: 0.8664 0.7327 0.5631  0.02
Ca: 0.2433 0.4866 0.8960  0.04
Ca: 0.5000 0.0000 0.0000  0.01

=====

Version x
## Ca4HN2 (GGA-PBE)

Data for an optimized crystal structure of Ca4HN2.

Unit cell a=3.5760 b=6.2710 c=6.3704 alpha=108.57 beta=90.00 gamma=90.00
Atoms (fractional coordinates):
H: 0.9999 0.0000 0.0000
N: 0.5000 0.0000 0.5000
Ca: 0.0000 0.7694 0.2957
Ca: 0.5000 0.2636 0.2896
N: 0.0000 0.5000 0.5000
Ca: 0.5000 0.7364 0.7104
Ca: 0.0000 0.2306 0.7043

=====

Version y
## Ca4HN2 (GGA-PBE)

Data for an optimized crystal structure of Ca4HN2.

Unit cell a=4.2768 b=4.2768 c=7.1918 alpha=72.70 beta=72.70 gamma=90.00
Atoms (fractional coordinates):
Ca: 0.5000 0.0000 0.0000
N: 0.3763 0.3763 0.2475
Ca: 0.7959 0.7959 0.4082
Ca: 0.2041 0.2041 0.5918
Ca: 0.0000 0.5000 0.0000
H: 0.0000 0.0000 0.0000
N: 0.6237 0.6237 0.7525

=====

Last place for stability: version y

=====

Version w
## CaTeHN2 (GGA-PBE)

Data for an optimized crystal structure of CaTeHN2.

Unit cell a=4.6319 b=4.6319 c=6.4842 alpha=90.00 beta=90.00 gamma=90.00
Site moments in Bohr magnetons follow the coordinates.
Atoms (fractional coordinates):
Ca: 0.0000 0.0000 0.0000  0.03
N: 0.5000 0.0000 0.0000  1.40
N: 0.0000 0.5000 0.0000  1.40
Te: 0.0000 0.0000 0.5000  -0.42
H: 0.5000 0.5000 0.5000  0.25

=====

Version x
## CaTeHN2 (GGA-PBE)

Data for an optimized crystal structure of CaTeHN2.

Unit cell a=4.3764 b=4.3764 c=3.5254 alpha=90.00 beta=90.00 gamma=90.00
Site moments in Bohr magnetons follow the coordinates.
Atoms (fractional coordinates):
Te: 0.0000 0.0000 0.5000  -0.05
H: 0.0000 0.0000 0.0000  0.01
N: 0.0000 0.5000 0.0000  0.48
Ca: 0.5000 0.5000 0.5000  -0.01
N: 0.5000 0.0000 0.0000  0.48

=====

Last place for stability: version w